Entry 1:
VASP calculation (PBE-GGA) on a relaxed structure of TlReW2.

The total energy is -9.32 eV/atom. The calculation puts the formation energy at 83 kJ/mol of atoms. The value obtained for the density of states at the Fermi level is 9.15 states/eV per cell. The relative energy among the computed polymorphs is 258 meV per atom.

The structure belongs to space group I4/mmm (No. 139); the cell edges are 4.002, 4.002 and 8.500 Å and the angles 90.00°, 90.00° and 90.00°. The asymmetric unit holds Tl at (0.000, 0.000, 0.000), Re at (0.000, 0.000, 0.500) and W at (0.000, 0.500, 0.250).

Entry 2:
VASP calculation (PBE-GGA) on a relaxed structure of Tl4ReW.

The total energy is -3.91 eV/atom. The calculation puts the formation energy at 184 kJ/mol of atoms. The value obtained for the density of states at the Fermi level is 28.42 states/eV per cell.

The structure belongs to space group F-43m (No. 216); the cell edges are 8.323, 8.323 and 8.323 Å and the angles 90.00°, 90.00° and 90.00°. The asymmetric unit holds Tl at (0.125, 0.125, 0.125), Re at (0.000, 0.000, 0.500) and W at (0.250, 0.250, 0.750).

Entry 3:
VASP calculation (PBE-GGA) on a relaxed structure of TlReW2.

The total energy is -9.33 eV/atom. The calculation puts the formation energy at 82 kJ/mol of atoms. The value obtained for the density of states at the Fermi level is 4.90 states/eV per cell. The relative energy among the computed polymorphs is 249 meV per atom.

The structure belongs to space group Cmmm (No. 65); the cell edges are 5.636, 8.090 and 2.990 Å and the angles 90.00°, 90.00° and 90.00°. The asymmetric unit holds Tl at (0.000, 0.000, 0.000), Re at (0.000, 0.500, 0.000) and W at (0.250, 0.250, 0.500).

Entry 4:
VASP calculation (PBE-GGA) on a relaxed structure of TlReW2.

The total energy is -9.56 eV/atom. The calculation puts the formation energy at 60 kJ/mol of atoms. The value obtained for the density of states at the Fermi level is 5.75 states/eV per cell. The relative energy among the computed polymorphs is 24 meV per atom.

The structure belongs to space group Cmm2 (No. 35); the cell edges are 3.188, 4.729 and 9.360 Å and the angles 90.00°, 90.00° and 90.00°. The asymmetric unit holds Tl at (0.000, 0.000, 0.000), Re at (0.000, 0.500, 0.272), W at (0.000, 0.000, 0.496) and W at (0.000, 0.500, 0.727).

Entry 5:
VASP calculation (PBE-GGA) on a relaxed structure of TlReW2.

The total energy is -9.21 eV/atom. The calculation puts the formation energy at 94 kJ/mol of atoms. The value obtained for the density of states at the Fermi level is 21.48 states/eV per cell. The relative energy among the computed polymorphs is 372 meV per atom.

The structure belongs to space group Fm-3m (No. 225); the cell edges are 6.503, 6.503 and 6.503 Å and the angles 90.00°, 90.00° and 90.00°. The asymmetric unit holds Tl at (0.000, 0.000, 0.000), Re at (0.000, 0.000, 0.500) and W at (0.250, 0.250, 0.250).

Entry 6:
VASP calculation (PBE-GGA) on a relaxed structure of TlReW2.

The total energy is -9.45 eV/atom. The calculation puts the formation energy at 71 kJ/mol of atoms. The value obtained for the density of states at the Fermi level is 4.81 states/eV per cell. The relative energy among the computed polymorphs is 135 meV per atom.

The structure belongs to space group Cm (No. 8); the cell edges are 9.608, 3.051 and 4.907 Å and the angles 90.00°, 103.91° and 90.00°. The asymmetric unit holds Tl at (0.000, 0.000, 0.000), Re at (0.265, 0.500, 0.283), W at (0.232, 0.000, 0.716) and W at (0.493, 0.000, 0.495).

Entry 7:
VASP calculation (PBE-GGA) on a relaxed structure of TlReW2.

The total energy is -9.41 eV/atom. The calculation puts the formation energy at 74 kJ/mol of atoms. The value obtained for the density of states at the Fermi level is 8.83 states/eV per cell. The relative energy among the computed polymorphs is 169 meV per atom.

The structure belongs to space group C2/m (No. 12); the cell edges are 9.732, 3.066 and 4.792 Å and the angles 90.00°, 104.74° and 90.00°. The asymmetric unit holds Tl at (0.000, 0.000, 0.000), Re at (0.000, 0.500, 0.500) and W at (0.237, 0.000, 0.722).

Entry 8:
VASP calculation (PBE-GGA) on a relaxed structure of TlReW2.

The total energy is -9.58 eV/atom. The calculation puts the formation energy at 58 kJ/mol of atoms. The value obtained for the density of states at the Fermi level is 2.80 states/eV per cell. The relative energy among the computed polymorphs is 0 meV per atom.

The structure belongs to space group P4/mmm (No. 123); the cell edges are 2.909, 2.909 and 8.287 Å and the angles 90.00°, 90.00° and 90.00°. The asymmetric unit holds Tl at (0.000, 0.000, 0.000), Re at (0.000, 0.000, 0.500) and W at (0.500, 0.500, 0.282).

Entry 9:
VASP calculation (PBE-GGA) on a relaxed structure of TlReW2.

The total energy is -9.53 eV/atom. The calculation puts the formation energy at 63 kJ/mol of atoms. The value obtained for the density of states at the Fermi level is 9.91 states/eV per cell. The relative energy among the computed polymorphs is 51 meV per atom.

The structure belongs to space group R-3m (No. 166, hexagonal axes); the cell edges are 2.9167, 2.9167 and 28.3420 Å and the angles 90.00°, 90.00° and 120.00°. The asymmetric unit holds Tl at (0.0000, 0.0000, 0.0000), Re at (0.0000, 0.0000, 0.5000) and W at (0.0000, 0.0000, 0.2436).

Entry 10:
VASP calculation (PBE-GGA) on a relaxed structure of TlReW2.

The total energy is -9.32 eV/atom. The calculation puts the formation energy at 83 kJ/mol of atoms. The value obtained for the density of states at the Fermi level is 9.19 states/eV per cell. The relative energy among the computed polymorphs is 257 meV per atom.

The structure belongs to space group F-43m (No. 216); the cell edges are 6.497, 6.497 and 6.497 Å and the angles 90.00°, 90.00° and 90.00°. The asymmetric unit holds Tl at (0.000, 0.000, 0.000), Re at (0.250, 0.250, 0.750), W at (0.000, 0.000, 0.500) and W at (0.250, 0.250, 0.250).

Entry 11:
VASP calculation (PBE-GGA) on a relaxed structure of TlReW2.

The total energy is -9.49 eV/atom. The calculation puts the formation energy at 66 kJ/mol of atoms. The value obtained for the density of states at the Fermi level is 9.49 states/eV per cell. The relative energy among the computed polymorphs is 89 meV per atom.

The structure belongs to space group R3m (No. 160, hexagonal axes); the cell edges are 2.9381, 2.9381 and 28.2419 Å and the angles 90.00°, 90.00° and 120.00°. The asymmetric unit holds Tl at (0.0000, 0.0000, 0.0000), Re at (0.0000, 0.0000, 0.7556), W at (0.0000, 0.0000, 0.2426) and W at (0.0000, 0.0000, 0.4952).

Entry 12:
VASP calculation (PBE-GGA) on a relaxed structure of YTlRe2.

The total energy is -7.92 eV/atom. The calculation puts the formation energy at 49 kJ/mol of atoms. The value obtained for the density of states at the Fermi level is 4.41 states/eV per cell. The relative energy among the computed polymorphs is 379 meV per atom.

The structure belongs to space group C2/m (No. 12); the cell edges are 10.072, 3.908 and 4.836 Å and the angles 90.00°, 112.89° and 90.00°. The asymmetric unit holds Y at (0.000, 0.000, 0.000), Tl at (0.000, 0.500, 0.500) and Re at (0.242, 0.000, 0.643).

Entry 13:
VASP calculation (PBE-GGA) on a relaxed structure of YTlRe2.

The total energy is -7.45 eV/atom. The calculation puts the formation energy at 95 kJ/mol of atoms. The value obtained for the density of states at the Fermi level is 16.11 states/eV per cell. The relative energy among the computed polymorphs is 851 meV per atom.

The structure belongs to space group R-3m (No. 166, hexagonal axes); the cell edges are 3.1121, 3.1121 and 28.0458 Å and the angles 90.00°, 90.00° and 120.00°. The asymmetric unit holds Y at (0.0000, 0.0000, 0.0000), Tl at (0.0000, 0.0000, 0.5000) and Re at (0.0000, 0.0000, 0.2481).

Entry 14:
VASP calculation (PBE-GGA) on a relaxed structure of Y2TlRe.

The total energy is -6.42 eV/atom. The calculation puts the formation energy at 50 kJ/mol of atoms. The value obtained for the density of states at the Fermi level is 11.02 states/eV per cell. The relative energy among the computed polymorphs is 553 meV per atom.

The structure belongs to space group Cmm2 (No. 35); the cell edges are 3.618, 5.302 and 10.238 Å and the angles 90.00°, 90.00° and 90.00°. The asymmetric unit holds Y at (0.000, 0.000, 0.000), Y at (0.000, 0.500, 0.311), Tl at (0.000, 0.500, 0.736) and Re at (0.000, 0.000, 0.520).

Entry 15:
VASP calculation (PBE-GGA) on a relaxed structure of Y2TlRe.

The total energy is -6.68 eV/atom. The calculation puts the formation energy at 24 kJ/mol of atoms. The value obtained for the density of states at the Fermi level is 8.70 states/eV per cell. The relative energy among the computed polymorphs is 293 meV per atom.

The structure belongs to space group I-4m2 (No. 119); the cell edges are 4.451, 4.451 and 9.306 Å and the angles 90.00°, 90.00° and 90.00°. The asymmetric unit holds Y at (0.000, 0.000, 0.000), Y at (0.000, 0.500, 0.250), Tl at (0.000, 0.000, 0.500) and Re at (0.000, 0.500, 0.750).